# ScInGe2

ScInGe2 after structural relaxation (PBE, the Alexandria database).

Properties
ρ in Mg/m³: 6.308
Total magnetic moment in μB per formula unit: 0.00
E_form in eV per atom: -0.29

Cell: 3.9916 4.4854 4.4854 Å, 90.00 90.00 90.00°
With the nearest neighbours (Å) after each atom.
Sites, in units of the cell vectors:
Sc  0.5000  0.0000  0.0000  8 Ge 3.00, 4 In 3.17
Ge  0.0000  0.0000  0.5000  4 In 3.00, 4 Sc 3.00, 4 Ge 3.17
Ge  0.0000  0.5000  0.0000  4 In 3.00, 4 Sc 3.00, 4 Ge 3.17
In  0.5000  0.5000  0.5000  8 Ge 3.00, 4 Sc 3.17